*a*
Entry from Alexandria via LeMat-Bulk: a geometry-optimized CuSiAu2I structure (PBE).

a = 4.877 Å, b = 4.877 Å, c = 5.168 Å
α = 90.00°, β = 90.00°, γ = 90.00°
Fractional coordinates of all 5 atoms:
Cu (0.000, 0.000, 0.000)
Si (0.500, 0.500, 0.500)
Au (0.000, 0.500, 0.000)
Au (0.500, 0.000, 0.000)
I (0.000, 0.000, 0.500)

Mass density in g cm⁻³: 8.3
Fermi-level density of states in states/eV/f.u.: 3.11

***

*b*
Entry from Alexandria via LeMat-Bulk: a geometry-optimized CuSiAu2I structure (PBE).

a = 5.262 Å, b = 5.262 Å, c = 5.593 Å
α = 90.00°, β = 90.00°, γ = 90.00°
Fractional coordinates of all 5 atoms:
Cu (0.000, 0.000, 0.000)
Si (0.500, 0.500, 0.000)
Au (0.000, 0.500, 0.500)
Au (0.500, 0.000, 0.500)
I (0.500, 0.500, 0.500)

Mass density in g cm⁻³: 6.6
Fermi-level density of states in states/eV/f.u.: 2.19

***

Short version: *a* is the most stable of them.

***

*a*
Entry from Alexandria via LeMat-Bulk: a geometry-optimized In2Cu2Au structure (PBE).

a = 8.013 Å, b = 8.013 Å, c = 2.887 Å
α = 90.00°, β = 90.00°, γ = 90.00°
Fractional coordinates of all 10 atoms:
In (0.184, 0.316, 0.000)
In (0.316, 0.816, 0.000)
In (0.684, 0.184, 0.000)
In (0.816, 0.684, 0.000)
Cu (0.111, 0.611, 0.500)
Cu (0.389, 0.111, 0.500)
Cu (0.611, 0.889, 0.500)
Cu (0.889, 0.389, 0.500)
Au (0.000, 0.000, 0.000)
Au (0.500, 0.500, 0.000)

Mass density in g cm⁻³: 9.9
Fermi-level density of states in states/eV/f.u.: 1.19

***

*b*
Entry from Alexandria via LeMat-Bulk: a geometry-optimized In2Cu2Au structure (PBE).

a = 6.913 Å, b = 6.913 Å, c = 3.803 Å
α = 90.00°, β = 90.00°, γ = 90.00°
Fractional coordinates of all 10 atoms:
In (0.170, 0.330, 0.000)
In (0.330, 0.830, 0.000)
In (0.670, 0.170, 0.000)
In (0.830, 0.670, 0.000)
Cu (0.130, 0.630, 0.500)
Cu (0.370, 0.130, 0.500)
Cu (0.630, 0.870, 0.500)
Cu (0.870, 0.370, 0.500)
Au (0.000, 0.000, 0.500)
Au (0.500, 0.500, 0.500)

Mass density in g cm⁻³: 10.1
Fermi-level density of states in states/eV/f.u.: 1.65

***

*c*
Entry from Alexandria via LeMat-Bulk: a geometry-optimized In2Cu2Au structure (PBE).

a = 8.300 Å, b = 8.300 Å, c = 8.300 Å
α = 156.17°, β = 156.17°, γ = 33.96°
Fractional coordinates of all 5 atoms:
In (0.110, 0.110, 0.000)
In (0.890, 0.890, 0.000)
Cu (0.250, 0.750, 0.500)
Cu (0.750, 0.250, 0.500)
Au (0.500, 0.500, 0.000)

Mass density in g cm⁻³: 9.9
Fermi-level density of states in states/eV/f.u.: 1.30

***

*d*
Entry from Alexandria via LeMat-Bulk: a geometry-optimized In2Cu2Au structure (PBE).

a = 6.421 Å, b = 6.421 Å, c = 6.421 Å
α = 142.01°, β = 142.01°, γ = 54.82°
Fractional coordinates of all 5 atoms:
In (0.250, 0.750, 0.500)
In (0.750, 0.250, 0.500)
Cu (0.101, 0.101, 0.000)
Cu (0.899, 0.899, 0.000)
Au (0.500, 0.500, 0.000)

Mass density in g cm⁻³: 9.2
Fermi-level density of states in states/eV/f.u.: 2.18

***

Short version: *b* is the most stable of them.

***

*a*
Entry from Alexandria via LeMat-Bulk: a geometry-optimized InCu3Au structure (PBE).

a = 4.198 Å, b = 5.565 Å, c = 13.631 Å
α = 90.00°, β = 107.04°, γ = 90.00°
Fractional coordinates of all 20 atoms:
In (0.116, 0.001, 0.363)
In (0.116, 0.499, 0.863)
In (0.884, 0.501, 0.137)
In (0.884, 0.999, 0.637)
Cu (0.301, 0.239, 0.053)
Cu (0.301, 0.261, 0.553)
Cu (0.301, 0.736, 0.553)
Cu (0.301, 0.764, 0.053)
Cu (0.500, 0.248, 0.750)
Cu (0.500, 0.252, 0.250)
Cu (0.500, 0.748, 0.750)
Cu (0.500, 0.752, 0.250)
Cu (0.699, 0.236, 0.947)
Cu (0.699, 0.264, 0.447)
Cu (0.699, 0.739, 0.447)
Cu (0.699, 0.761, 0.947)
Au (0.115, 0.501, 0.360)
Au (0.115, 0.999, 0.860)
Au (0.885, 0.001, 0.140)
Au (0.885, 0.499, 0.640)

Mass density in g cm⁻³: 11.0
Fermi-level density of states in states/eV/f.u.: 1.57

***

*b*
Entry from Alexandria via LeMat-Bulk: a geometry-optimized InCu3Au structure (PBE).

a = 4.812 Å, b = 4.812 Å, c = 4.812 Å
α = 90.00°, β = 90.00°, γ = 90.00°
Fractional coordinates of all 5 atoms:
In (0.000, 0.000, 0.000)
Cu (0.000, 0.500, 0.500)
Cu (0.500, 0.000, 0.500)
Cu (0.500, 0.500, 0.000)
Au (0.500, 0.500, 0.500)

Mass density in g cm⁻³: 7.5
Fermi-level density of states in states/eV/f.u.: 2.00

***

Short version: *a* is the most stable of them.

***

*a*
Entry from Alexandria via LeMat-Bulk: a geometry-optimized InCuAu3 structure (PBE).

a = 7.415 Å, b = 5.721 Å, c = 8.817 Å
α = 90.00°, β = 107.54°, γ = 90.00°
Fractional coordinates of all 20 atoms:
In (0.204, 0.008, 0.298)
In (0.204, 0.492, 0.798)
In (0.796, 0.508, 0.202)
In (0.796, 0.992, 0.702)
Cu (0.389, 0.729, 0.600)
Cu (0.389, 0.771, 0.100)
Cu (0.611, 0.229, 0.900)
Cu (0.611, 0.271, 0.400)
Au (0.011, 0.749, 0.998)
Au (0.011, 0.751, 0.498)
Au (0.244, 0.511, 0.312)
Au (0.244, 0.989, 0.812)
Au (0.402, 0.227, 0.595)
Au (0.402, 0.273, 0.095)
Au (0.598, 0.727, 0.905)
Au (0.598, 0.773, 0.405)
Au (0.756, 0.011, 0.188)
Au (0.756, 0.489, 0.688)
Au (0.989, 0.249, 0.502)
Au (0.989, 0.251, 0.002)

Mass density in g cm⁻³: 14.3
Fermi-level density of states in states/eV/f.u.: 1.47

***

*b*
Entry from Alexandria via LeMat-Bulk: a geometry-optimized InCuAu3 structure (PBE).

a = 4.859 Å, b = 4.859 Å, c = 4.859 Å
α = 90.00°, β = 90.00°, γ = 90.00°
Fractional coordinates of all 5 atoms:
In (0.000, 0.000, 0.000)
Cu (0.500, 0.500, 0.500)
Au (0.000, 0.500, 0.500)
Au (0.500, 0.000, 0.500)
Au (0.500, 0.500, 0.000)

Mass density in g cm⁻³: 11.1
Fermi-level density of states in states/eV/f.u.: 1.72

***

*c*
Entry from Alexandria via LeMat-Bulk: a geometry-optimized InCuAu3 structure (PBE).

a = 4.266 Å, b = 5.669 Å, c = 7.904 Å
α = 90.00°, β = 90.00°, γ = 90.00°
Fractional coordinates of all 10 atoms:
In (0.250, 0.250, 0.063)
In (0.750, 0.750, 0.937)
Cu (0.250, 0.750, 0.372)
Cu (0.750, 0.250, 0.628)
Au (0.250, 0.000, 0.755)
Au (0.250, 0.250, 0.430)
Au (0.250, 0.500, 0.755)
Au (0.750, 0.000, 0.245)
Au (0.750, 0.500, 0.245)
Au (0.750, 0.750, 0.570)

Mass density in g cm⁻³: 13.4
Fermi-level density of states in states/eV/f.u.: 1.83

***

Short version: *a* is the most stable of them.

***

*a*
Entry from Alexandria via LeMat-Bulk: a geometry-optimized InCuAu4 structure (PBE).

a = 7.410 Å, b = 5.198 Å, c = 5.681 Å
α = 90.00°, β = 99.43°, γ = 90.00°
Fractional coordinates of all 12 atoms:
In (0.000, 0.121, 0.250)
In (0.000, 0.879, 0.750)
Cu (0.500, 0.408, 0.250)
Cu (0.500, 0.592, 0.750)
Au (0.188, 0.403, 0.915)
Au (0.188, 0.597, 0.415)
Au (0.341, 0.101, 0.575)
Au (0.341, 0.899, 0.075)
Au (0.659, 0.101, 0.925)
Au (0.659, 0.899, 0.425)
Au (0.812, 0.403, 0.585)
Au (0.812, 0.597, 0.085)

Mass density in g cm⁻³: 14.9
Fermi-level density of states in states/eV/f.u.: 2.39

***

*b*
Entry from Alexandria via LeMat-Bulk: a geometry-optimized InCuAu4 structure (PBE).

a = 5.531 Å, b = 5.531 Å, c = 5.531 Å
α = 60.00°, β = 60.00°, γ = 60.00°
Fractional coordinates of all 6 atoms:
In (0.000, 0.000, 0.000)
Cu (0.250, 0.250, 0.250)
Au (0.126, 0.625, 0.625)
Au (0.625, 0.126, 0.625)
Au (0.625, 0.625, 0.126)
Au (0.625, 0.625, 0.625)

Mass density in g cm⁻³: 13.4
Fermi-level density of states in states/eV/f.u.: 2.18

***

Short version: *a* is the most stable of them.

***

*a*
Entry from Alexandria via LeMat-Bulk: a geometry-optimized In4CuAu structure (PBE).

a = 4.645 Å, b = 4.645 Å, c = 6.578 Å
α = 90.00°, β = 90.00°, γ = 90.00°
Fractional coordinates of all 6 atoms:
In (0.000, 0.500, 0.239)
In (0.000, 0.500, 0.761)
In (0.500, 0.000, 0.239)
In (0.500, 0.000, 0.761)
Cu (0.000, 0.000, 0.000)
Au (0.500, 0.500, 0.500)

Mass density in g cm⁻³: 8.4
Fermi-level density of states in states/eV/f.u.: 1.21

***

*b*
Entry from Alexandria via LeMat-Bulk: a geometry-optimized In4CuAu structure (PBE).

a = 5.995 Å, b = 5.995 Å, c = 5.995 Å
α = 60.00°, β = 60.00°, γ = 60.00°
Fractional coordinates of all 6 atoms:
In (0.125, 0.125, 0.125)
In (0.125, 0.125, 0.625)
In (0.125, 0.625, 0.125)
In (0.625, 0.125, 0.125)
Cu (0.500, 0.500, 0.500)
Au (0.750, 0.750, 0.750)

Mass density in g cm⁻³: 7.8
Fermi-level density of states in states/eV/f.u.: 2.05

***

Short version: *a* is the most stable of them.

***

*a*
Entry from Alexandria via LeMat-Bulk: a geometry-optimized InCuAu6 structure (PBE).

a = 4.281 Å, b = 4.281 Å, c = 7.842 Å
α = 90.00°, β = 90.00°, γ = 90.00°
Fractional coordinates of all 8 atoms:
In (0.000, 0.000, 0.000)
Cu (0.000, 0.000, 0.500)
Au (0.000, 0.500, 0.262)
Au (0.000, 0.500, 0.738)
Au (0.500, 0.000, 0.262)
Au (0.500, 0.000, 0.738)
Au (0.500, 0.500, 0.000)
Au (0.500, 0.500, 0.500)

Mass density in g cm⁻³: 15.7
Fermi-level density of states in states/eV/f.u.: 2.36

***

*b*
Entry from Alexandria via LeMat-Bulk: a geometry-optimized InCuAu6 structure (PBE).

a = 4.241 Å, b = 5.830 Å, c = 5.830 Å
α = 85.35°, β = 90.00°, γ = 90.00°
Fractional coordinates of all 8 atoms:
In (0.000, 0.000, 0.000)
Cu (0.500, 0.717, 0.717)
Au (0.000, 0.474, 0.474)
Au (0.000, 0.517, 0.959)
Au (0.000, 0.959, 0.517)
Au (0.500, 0.233, 0.734)
Au (0.500, 0.234, 0.234)
Au (0.500, 0.734, 0.233)

Mass density in g cm⁻³: 15.7
Fermi-level density of states in states/eV/f.u.: 1.92

***

Short version: *a* is the most stable of them.

***

*a*
Entry from Alexandria via LeMat-Bulk: a geometry-optimized InCu2Au5 structure (PBE).

a = 5.755 Å, b = 5.755 Å, c = 5.755 Å
α = 118.53°, β = 118.53°, γ = 92.57°
Fractional coordinates of all 8 atoms:
In (0.000, 0.000, 0.000)
Cu (0.000, 0.500, 0.500)
Cu (0.500, 0.000, 0.500)
Au (0.000, 0.000, 0.500)
Au (0.000, 0.500, 0.000)
Au (0.500, 0.000, 0.000)
Au (0.500, 0.500, 0.000)
Au (0.500, 0.500, 0.500)

Mass density in g cm⁻³: 14.8
Fermi-level density of states in states/eV/f.u.: 1.26

***

*b*
Entry from Alexandria via LeMat-Bulk: a geometry-optimized InCu2Au5 structure (PBE).

a = 7.537 Å, b = 7.537 Å, c = 7.537 Å
α = 124.60°, β = 124.60°, γ = 82.20°
Fractional coordinates of all 16 atoms:
In (0.250, 0.250, 0.000)
In (0.750, 0.750, 0.000)
Cu (0.142, 0.642, 0.784)
Cu (0.358, 0.142, 0.500)
Cu (0.642, 0.858, 0.500)
Cu (0.858, 0.358, 0.216)
Au (0.000, 0.000, 0.000)
Au (0.003, 0.804, 0.500)
Au (0.196, 0.696, 0.199)
Au (0.304, 0.503, 0.500)
Au (0.497, 0.997, 0.801)
Au (0.500, 0.500, 0.000)
Au (0.503, 0.003, 0.199)
Au (0.696, 0.497, 0.500)
Au (0.804, 0.304, 0.801)
Au (0.997, 0.196, 0.500)

Mass density in g cm⁻³: 14.6
Fermi-level density of states in states/eV/f.u.: 2.49

***

Short version: *a* is the most stable of them.

***

*a*
Entry from Alexandria via LeMat-Bulk: a geometry-optimized CuIrAu2 structure (PBE).

a = 2.733 Å, b = 3.982 Å, c = 5.808 Å
α = 90.00°, β = 91.22°, γ = 90.00°
Fractional coordinates of all 4 atoms:
Cu (0.000, 0.000, 0.000)
Ir (0.000, 0.000, 0.500)
Au (0.493, 0.500, 0.244)
Au (0.507, 0.500, 0.756)

Mass density in g cm⁻³: 17.1
Fermi-level density of states in states/eV/f.u.: 3.38

***

*b*
Entry from Alexandria via LeMat-Bulk: a geometry-optimized CuIrAu2 structure (PBE).

a = 2.818 Å, b = 2.818 Å, c = 7.915 Å
α = 90.00°, β = 90.00°, γ = 90.00°
Fractional coordinates of all 4 atoms:
Cu (0.000, 0.000, 0.000)
Ir (0.500, 0.500, 0.214)
Au (0.000, 0.000, 0.477)
Au (0.500, 0.500, 0.762)

Mass density in g cm⁻³: 17.2
Fermi-level density of states in states/eV/f.u.: 4.00

***

*c*
Entry from Alexandria via LeMat-Bulk: a geometry-optimized CuIrAu2 structure (PBE).

a = 2.865 Å, b = 4.709 Å, c = 4.721 Å
α = 90.00°, β = 90.00°, γ = 90.00°
Fractional coordinates of all 4 atoms:
Cu (0.000, 0.000, 0.000)
Ir (0.500, 0.500, 0.000)
Au (0.000, 0.500, 0.500)
Au (0.500, 0.000, 0.500)

Mass density in g cm⁻³: 16.9
Fermi-level density of states in states/eV/f.u.: 3.85

***

Short version: *b* is the most stable of them.

***

*a*
Entry from Alexandria via LeMat-Bulk: a geometry-optimized CuIrAu2 structure (PBE).

a = 4.758 Å, b = 4.758 Å, c = 4.758 Å
α = 129.00°, β = 129.00°, γ = 75.01°
Fractional coordinates of all 4 atoms:
Cu (0.000, 0.000, 0.000)
Ir (0.500, 0.500, 0.000)
Au (0.250, 0.750, 0.500)
Au (0.750, 0.250, 0.500)

Mass density in g cm⁻³: 17.0
Fermi-level density of states in states/eV/f.u.: 4.25

***

*b*
Entry from Alexandria via LeMat-Bulk: a geometry-optimized CuIrAu2 structure (PBE).

a = 4.867 Å, b = 4.867 Å, c = 4.948 Å
α = 100.29°, β = 100.29°, γ = 33.43°
Fractional coordinates of all 4 atoms:
Cu (0.000, 0.000, 0.000)
Ir (0.500, 0.500, 0.500)
Au (0.251, 0.251, 0.753)
Au (0.749, 0.749, 0.247)

Mass density in g cm⁻³: 17.0
Fermi-level density of states in states/eV/f.u.: 3.87

***

Short version: *b* is the most stable of them.